Compound: VIF
Source: Alexandria
Functional: PBE with a Hubbard U
Structure: relaxed

Calculated values
N(E_F) (states/eV per atom): 0.000
DFT total energy (eV per cell): -14.85
Energy above the lowest structure with this stoichiometry (meV per atom): 0

Lattice parameters (Å, degrees): 3.763 3.763 5.802 90.00 90.00 120.00
Fractional coordinates of all 3 atoms:
V  0.000  0.000  0.000
I  0.333  0.667  0.688
F  0.667  0.333  0.137